The following is a DFT calculation (SCAN) of a crystal of AlFe2Os relaxed with PBEsol.

The calculation puts the total magnetization at 4.89 μB per formula unit. For the formation energy, the calculation gives -0.78 eV per formula unit. Its crystal system is orthorhombic. The space-group type is Immm, No. 71. The density of states at the Fermi level is 3.7 states/eV/cell.

```
AlFe2Os
1.0
-1.467 2.008 4.094
1.467 -2.008 4.094
1.467 2.008 -4.094
Al Fe Os
1 2 1
Cartesian
0.000 0.000 0.000 Al
1.467 0.000 2.035 Fe
0.000 2.008 2.059 Fe
0.000 0.000 4.094 Os
```

---

The following is a DFT calculation (SCAN) of a crystal of Al2FeOs relaxed with PBEsol.

The calculation puts the total magnetization at 1.67 μB per formula unit. For the formation energy, the calculation gives -1.98 eV per formula unit. Its crystal system is tetragonal. The space-group type is P4/mmm, No. 123. The density of states at the Fermi level is 2.0 states/eV/cell.

```
Al2FeOs
1.0
4.130 0.000 0.000
0.000 4.130 0.000
0.000 0.000 2.978
Al Fe Os
2 1 1
Cartesian
0.000 2.065 0.000 Al
2.065 0.000 0.000 Al
0.000 0.000 1.489 Fe
2.065 2.065 1.489 Os
```

---

The following is a DFT calculation (SCAN) of a crystal of AlFe2Os relaxed with PBEsol.

The calculation puts the total magnetization at 5.16 μB per formula unit. For the formation energy, the calculation gives -0.87 eV per formula unit. Its crystal system is orthorhombic. The space-group type is Imm2, No. 44. The density of states at the Fermi level is 2.5 states/eV/cell.

```
AlFe2Os
1.0
-1.461 2.060 4.055
1.461 -2.060 4.055
1.461 2.060 -4.055
Al Fe Os
1 2 1
Cartesian
0.000 0.000 0.000 Al
1.461 0.000 2.058 Fe
0.000 0.000 3.922 Fe
0.000 2.060 1.906 Os
```

---

The following is a DFT calculation (SCAN) of a crystal of AlFe2Os relaxed with PBEsol.

The calculation puts the total magnetization at 3.20 μB per formula unit. For the formation energy, the calculation gives -0.17 eV per formula unit. Its crystal system is tetragonal. The space-group type is P4/mmm, No. 123. The density of states at the Fermi level is 2.5 states/eV/cell.

```
AlFe2Os
1.0
2.691 0.000 0.000
0.000 2.691 0.000
0.000 0.000 6.428
Al Fe Os
1 2 1
Cartesian
0.000 0.000 0.000 Al
1.346 1.346 1.559 Fe
1.346 1.346 4.869 Fe
0.000 0.000 3.214 Os
```